1.
# Sm7CS5 (PBE, optimized geometry)
# - Electronic total energy: -6.343 eV per atom
# - Spin magnetization: 0.002 μB/f.u.
data_Sm7CS5
_space_group_name_H-M_alt 'C 1 m 1'
_space_group_IT_number 8
_space_group_name_Hall 'C -2y'
_cell_length_a 13.1902
_cell_length_b 3.8465
_cell_length_c 23.9552
_cell_angle_alpha 90.00
_cell_angle_beta 90.01
_cell_angle_gamma 90.00
loop_
_atom_site_label
_atom_site_type_symbol
_atom_site_fract_x
_atom_site_fract_y
_atom_site_fract_z
Sm1 Sm 0.0000 0.0000 0.0000
Sm2 Sm 0.0014 0.0000 0.1388
Sm3 Sm 0.0560 0.5000 0.8595
Sm4 Sm 0.0732 0.5000 0.2838
Sm5 Sm 0.1074 0.0000 0.7022
Sm6 Sm 0.1331 0.0000 0.4249
Sm7 Sm 0.1480 0.5000 0.5721
Sm8 Sm 0.2590 0.5000 0.0723
Sm9 Sm 0.2741 0.0000 0.9248
Sm10 Sm 0.2996 0.0000 0.2025
Sm11 Sm 0.3339 0.5000 0.7835
Sm12 Sm 0.3512 0.5000 0.3597
Sm13 Sm 0.4055 0.0000 0.6385
Sm14 Sm 0.4074 0.0000 0.5002
C1 C 0.0280 0.0000 0.6057
C2 C 0.3788 0.0000 0.1061
S1 S 0.1411 0.5000 0.9677
S2 S 0.1534 0.5000 0.1743
S3 S 0.1914 0.0000 0.8171
S4 S 0.2158 0.0000 0.3173
S5 S 0.2536 0.5000 0.6740
S6 S 0.2661 0.5000 0.4679
S7 S 0.4170 0.5000 0.8929
S8 S 0.4329 0.5000 0.2482
S9 S 0.4742 0.0000 0.7480
S10 S 0.4902 0.0000 0.3931

2.
# NbGaOs (PBE, optimized geometry)
# - Electronic total energy: -8.262 eV per atom
# - DFT formation energy: -0.15 eV per atom
# - Spin magnetization: 0.000 μB/f.u.
data_NbGaOs
_space_group_name_H-M_alt 'C m c m'
_space_group_IT_number 63
_space_group_name_Hall '-C 2c 2'
_cell_length_a 4.5218
_cell_length_b 8.9881
_cell_length_c 4.5961
_cell_angle_alpha 90.00
_cell_angle_beta 90.00
_cell_angle_gamma 90.00
loop_
_atom_site_label
_atom_site_type_symbol
_atom_site_fract_x
_atom_site_fract_y
_atom_site_fract_z
Nb1 Nb 0.0000 0.0825 0.2500
Ga1 Ga 0.0000 0.2475 0.7500
Os1 Os 0.0000 0.4153 0.2500

3.
# Pm2DyGe3Pd4 (PBE, optimized geometry)
# - Electronic total energy: -5.713 eV per atom
# - DFT formation energy: -0.84 eV per atom
# - Spin magnetization: 0.000 μB/f.u.
data_Pm2DyGe3Pd4
_space_group_name_H-M_alt 'P -4 m 2'
_space_group_IT_number 115
_space_group_name_Hall 'P -4 -2'
_cell_length_a 4.2763
_cell_length_b 4.2763
_cell_length_c 11.2774
_cell_angle_alpha 90.00
_cell_angle_beta 90.00
_cell_angle_gamma 90.00
loop_
_atom_site_label
_atom_site_type_symbol
_atom_site_fract_x
_atom_site_fract_y
_atom_site_fract_z
Pm1 Pm 0.0000 0.5000 0.2193
Dy1 Dy 0.0000 0.0000 0.5000
Ge1 Ge 0.0000 0.5000 0.8765
Ge2 Ge 0.5000 0.5000 0.5000
Pd1 Pd 0.0000 0.0000 0.0000
Pd2 Pd 0.0000 0.5000 0.6573
Pd3 Pd 0.5000 0.5000 0.0000

4.
# CrTc2Pt (PBE, optimized geometry)
# - Excess energy over the best structure of this formula in the dataset: 1.17 eV/f.u.
# - Electronic total energy: -8.905 eV per atom
# - DFT formation energy: 0.19 eV per atom
# - Spin magnetization: 2.035 μB/f.u.
data_CrTc2Pt
_space_group_name_H-M_alt 'F -4 3 m'
_space_group_IT_number 216
_space_group_name_Hall 'F -4 2 3'
_cell_length_a 6.1760
_cell_length_b 6.1760
_cell_length_c 6.1760
_cell_angle_alpha 90.00
_cell_angle_beta 90.00
_cell_angle_gamma 90.00
loop_
_atom_site_label
_atom_site_type_symbol
_atom_site_fract_x
_atom_site_fract_y
_atom_site_fract_z
Cr1 Cr 0.0000 0.0000 0.0000
Tc1 Tc 0.0000 0.0000 0.5000
Tc2 Tc 0.2500 0.2500 0.2500
Pt1 Pt 0.2500 0.2500 0.7500

5.
# K2LaCr (PBE, optimized geometry)
# - Excess energy over the best structure of this formula in the dataset: 0.00 eV/f.u.
# - Electronic total energy: -3.644 eV per atom
# - DFT formation energy: 0.54 eV per atom
# - Spin magnetization: 3.978 μB/f.u.
data_K2LaCr
_space_group_name_H-M_alt 'P 4 m m'
_space_group_IT_number 99
_space_group_name_Hall 'P 4 -2'
_cell_length_a 3.9085
_cell_length_b 3.9085
_cell_length_c 11.5494
_cell_angle_alpha 90.00
_cell_angle_beta 90.00
_cell_angle_gamma 90.00
loop_
_atom_site_label
_atom_site_type_symbol
_atom_site_fract_x
_atom_site_fract_y
_atom_site_fract_z
K1 K 0.0000 0.0000 0.0000
K2 K 0.5000 0.5000 0.3474
La1 La 0.0000 0.0000 0.6500
Cr1 Cr 0.5000 0.5000 0.7810

6.
# MgRh3C (PBE, optimized geometry)
# - Electronic total energy: -6.453 eV per atom
# - DFT formation energy: 0.12 eV per atom
# - Spin magnetization: 0.000 μB/f.u.
data_MgRh3C
_space_group_name_H-M_alt 'R -3'
_space_group_IT_number 148
_space_group_name_Hall '-R 3'
_cell_length_a 4.9126
_cell_length_b 4.9126
_cell_length_c 20.9424
_cell_angle_alpha 90.00
_cell_angle_beta 90.00
_cell_angle_gamma 120.00
loop_
_atom_site_label
_atom_site_type_symbol
_atom_site_fract_x
_atom_site_fract_y
_atom_site_fract_z
Mg1 Mg 0.0000 0.0000 0.1674
Rh1 Rh 0.9996 0.3371 0.6070
C1 C 0.0000 0.0000 0.3340

7.
# TiSeO2 (PBE, optimized geometry)
# - Electronic total energy: -5.711 eV per atom
# - Spin magnetization: 0.970 μB/f.u.
data_TiSeO2
_space_group_name_H-M_alt 'R -3 m'
_space_group_IT_number 166
_space_group_name_Hall '-R 3 2"'
_cell_length_a 3.6447
_cell_length_b 3.6447
_cell_length_c 15.6880
_cell_angle_alpha 90.00
_cell_angle_beta 90.00
_cell_angle_gamma 120.00
loop_
_atom_site_label
_atom_site_type_symbol
_atom_site_fract_x
_atom_site_fract_y
_atom_site_fract_z
Ti1 Ti 0.0000 0.0000 0.0000
Se1 Se 0.0000 0.0000 0.5000
O1 O 0.0000 0.0000 0.1203

8.
# Sr2CaGe3Pd4 (PBE, optimized geometry)
# - Electronic total energy: -4.703 eV per atom
# - DFT formation energy: -0.70 eV per atom
# - Spin magnetization: 0.000 μB/f.u.
data_Sr2CaGe3Pd4
_space_group_name_H-M_alt 'P -4 m 2'
_space_group_IT_number 115
_space_group_name_Hall 'P -4 -2'
_cell_length_a 4.4502
_cell_length_b 4.4502
_cell_length_c 10.9460
_cell_angle_alpha 90.00
_cell_angle_beta 90.00
_cell_angle_gamma 90.00
loop_
_atom_site_label
_atom_site_type_symbol
_atom_site_fract_x
_atom_site_fract_y
_atom_site_fract_z
Sr1 Sr 0.0000 0.5000 0.2312
Ca1 Ca 0.0000 0.0000 0.5000
Ge1 Ge 0.0000 0.5000 0.8851
Ge2 Ge 0.5000 0.5000 0.5000
Pd1 Pd 0.0000 0.0000 0.0000
Pd2 Pd 0.0000 0.5000 0.6559
Pd3 Pd 0.5000 0.5000 0.0000